DFT (PBE) results for a geometry-optimized ReTeMo structure.

Values from the calculation:
The energy relative to the elements, uncorrected comes out at 0.607 eV/atom. The total energy comes out at -24.60 eV/cell. The symmetry is No. 187.

a = 4.4924 Å, b = 4.4924 Å, c = 2.9909 Å
α = 90.00°, β = 90.00°, γ = 120.00°
With the nearest neighbours (Å) after each atom.
Element x y z (fractional)
Re 0.0000 0.0000 0.0000  3 Te 2.59
Te 0.3333 0.6667 0.0000  3 Re 2.59
Mo 0.6667 0.3333 0.5000  2 Mo 2.99, 6 Re 2.99, 6 Te 2.99

DFT (PBE) results for a geometry-optimized ReTeMo structure.

Values from the calculation:
The energy relative to the elements, uncorrected comes out at 0.455 eV/atom. The total energy comes out at -50.11 eV/cell. The symmetry is No. 107.

a = 3.1099 Å, b = 3.1099 Å, c = 11.0122 Å
α = 90.00°, β = 90.00°, γ = 90.00°
With the nearest neighbours (Å) after each atom.
Element x y z (fractional)
Re 0.0000 0.0000 0.0000  4 Mo 2.68, 4 Te 2.96
Re 0.5000 0.5000 0.5000  4 Mo 2.68, 4 Te 2.96
Te 0.0000 0.0000 0.6800  4 Re 2.96, 4 Mo 2.97, 4 Te 3.11
Te 0.5000 0.5000 0.1800  4 Re 2.96, 4 Mo 2.97, 4 Te 3.11
Mo 0.0000 0.0000 0.3614  4 Re 2.68, 4 Te 2.97
Mo 0.5000 0.5000 0.8614  4 Re 2.68, 4 Te 2.97

DFT (PBE) results for a geometry-optimized ReTe4Mo structure.

Values from the calculation:
The energy relative to the elements, uncorrected comes out at -0.139 eV/atom. The total energy comes out at -73.36 eV/cell. The symmetry is No. 8.

a = 15.3092 Å, b = 3.4333 Å, c = 6.3906 Å
α = 90.00°, β = 101.70°, γ = 90.00°
With the nearest neighbours (Å) after each atom.
Element x y z (fractional)
Re 0.0000 0.0000 0.0000  6 Te 2.67-2.79, 2 Mo 2.96
Re 0.5000 0.5000 0.0000  6 Te 2.67-2.79, 2 Mo 2.96
Te 0.0952 0.0000 0.4211  1 Re 2.79, 2 Mo 2.81
Te 0.1307 0.5000 0.9493  1 Mo 2.68, 2 Re 2.71
Te 0.3604 0.5000 0.6722  1 Re 2.67, 2 Mo 2.71
Te 0.3976 0.0000 0.1906  2 Re 2.77, 1 Mo 2.83
Te 0.5952 0.5000 0.4211  1 Re 2.79, 2 Mo 2.81
Te 0.6307 0.0000 0.9493  1 Mo 2.68, 2 Re 2.71
Te 0.8604 0.0000 0.6722  1 Re 2.67, 2 Mo 2.71
Te 0.8976 0.5000 0.1906  2 Re 2.77, 1 Mo 2.83
Mo 0.4915 0.0000 0.6199  6 Te 2.68-2.83, 2 Re 2.96
Mo 0.9915 0.5000 0.6199  6 Te 2.68-2.83, 2 Re 2.96

DFT (PBE) results for a geometry-optimized ReTeMo structure.

Values from the calculation:
The energy relative to the elements, uncorrected comes out at 0.600 eV/atom. The total energy comes out at -98.48 eV/cell. The symmetry is No. 38.

a = 12.8094 Å, b = 3.1834 Å, c = 5.2756 Å
α = 90.00°, β = 90.00°, γ = 90.00°
With the nearest neighbours (Å) after each atom.
Element x y z (fractional)
Re 0.1547 0.0000 0.0000  3 Mo 2.60-2.87, 1 Te 2.81
Re 0.1547 0.5000 0.5000  3 Mo 2.60-2.87, 1 Te 2.81
Re 0.8453 0.0000 0.0000  3 Mo 2.60-2.87, 1 Te 2.81
Re 0.8453 0.5000 0.5000  3 Mo 2.60-2.87, 1 Te 2.81
Te 0.3353 0.0000 0.3036  3 Mo 2.77, 3 Re 2.81-2.99, 4 Te 3.08
Te 0.3353 0.5000 0.8036  3 Mo 2.77, 3 Re 2.81-2.99, 4 Te 3.08
Te 0.6647 0.0000 0.3036  3 Mo 2.77, 3 Re 2.81-2.99, 4 Te 3.08
Te 0.6647 0.5000 0.8036  3 Mo 2.77, 3 Re 2.81-2.99, 4 Te 3.08
Mo 0.0000 0.0000 0.6054  6 Re 2.60-2.87
Mo 0.0000 0.5000 0.1054  6 Re 2.60-2.87
Mo 0.5000 0.0000 0.6446  6 Te 2.77, 4 Mo 3.08
Mo 0.5000 0.5000 0.1446  6 Te 2.77, 4 Mo 3.08

DFT (PBE) results for a geometry-optimized ReTeMo structure.

Values from the calculation:
The energy relative to the elements, uncorrected comes out at 0.644 eV/atom. The total energy comes out at -48.98 eV/cell. The symmetry is No. 44.

a = 3.1165 Å, b = 4.2096 Å, c = 7.9996 Å
α = 90.00°, β = 90.00°, γ = 90.00°
With the nearest neighbours (Å) after each atom.
Element x y z (fractional)
Re 0.0000 0.0000 0.0000  5 Te 2.65-2.95, 5 Mo 2.71-2.92
Re 0.5000 0.5000 0.5000  5 Te 2.65-2.95, 5 Mo 2.71-2.92
Te 0.0000 0.0000 0.3307  5 Re 2.65-2.95, 5 Mo 2.65-2.95
Te 0.5000 0.5000 0.8307  5 Re 2.65-2.95, 5 Mo 2.65-2.95
Mo 0.0000 0.0000 0.6618  5 Te 2.65-2.95, 5 Re 2.71-2.92
Mo 0.5000 0.5000 0.1618  5 Te 2.65-2.95, 5 Re 2.71-2.92

DFT (PBE) results for a geometry-optimized ReTeMo structure.

Values from the calculation:
The energy relative to the elements, uncorrected comes out at 0.750 eV/atom. The total energy comes out at -96.69 eV/cell. The symmetry is No. 42.

a = 3.2423 Å, b = 4.9790 Å, c = 14.2694 Å
α = 90.00°, β = 90.00°, γ = 90.00°
With the nearest neighbours (Å) after each atom.
Element x y z (fractional)
Re 0.0000 0.0000 0.0000  2 Mo 2.47
Re 0.0000 0.5000 0.5000  2 Mo 2.47
Re 0.5000 0.0000 0.5000  2 Mo 2.47
Re 0.5000 0.5000 0.0000  2 Mo 2.47
Te 0.0000 0.0000 0.6877  6 Te 2.97-3.24, 2 Mo 3.05, 2 Re 3.13
Te 0.0000 0.5000 0.1877  6 Te 2.97-3.24, 2 Mo 3.05, 2 Re 3.13
Te 0.5000 0.0000 0.1877  6 Te 2.97-3.24, 2 Mo 3.05, 2 Re 3.13
Te 0.5000 0.5000 0.6877  6 Te 2.97-3.24, 2 Mo 3.05, 2 Re 3.13
Mo 0.0000 0.0000 0.3690  2 Re 2.47
Mo 0.0000 0.5000 0.8690  2 Re 2.47
Mo 0.5000 0.0000 0.8690  2 Re 2.47
Mo 0.5000 0.5000 0.3690  2 Re 2.47

DFT (PBE) results for a geometry-optimized ReTeMo structure.

Values from the calculation:
The energy relative to the elements, uncorrected comes out at 0.409 eV/atom. The total energy comes out at -100.77 eV/cell. The symmetry is No. 216.

a = 6.1845 Å, b = 6.1845 Å, c = 6.1845 Å
α = 90.00°, β = 90.00°, γ = 90.00°
With the nearest neighbours (Å) after each atom.
Element x y z (fractional)
Re 0.0000 0.0000 0.0000  4 Mo 2.68, 4 Te 2.68
Re 0.0000 0.5000 0.5000  4 Mo 2.68, 4 Te 2.68
Re 0.5000 0.0000 0.5000  4 Mo 2.68, 4 Te 2.68
Re 0.5000 0.5000 0.0000  4 Mo 2.68, 4 Te 2.68
Te 0.2500 0.2500 0.2500  4 Re 2.68
Te 0.2500 0.7500 0.7500  4 Re 2.68
Te 0.7500 0.2500 0.7500  4 Re 2.68
Te 0.7500 0.7500 0.2500  4 Re 2.68
Mo 0.2500 0.2500 0.7500  4 Re 2.68
Mo 0.2500 0.7500 0.2500  4 Re 2.68
Mo 0.7500 0.2500 0.2500  4 Re 2.68
Mo 0.7500 0.7500 0.7500  4 Re 2.68

DFT (PBE) results for a geometry-optimized ReTe4Mo structure.

Values from the calculation:
The energy relative to the elements, uncorrected comes out at 1.886 eV/atom. The total energy comes out at -24.53 eV/cell. The symmetry is No. 216.

a = 6.2192 Å, b = 6.2192 Å, c = 6.2192 Å
α = 60.00°, β = 60.00°, γ = 60.00°
With the nearest neighbours (Å) after each atom.
Element x y z (fractional)
Re 0.0000 0.0000 0.0000  12 Te 3.65, 4 Mo 3.81
Te 0.1249 0.6250 0.6250  6 Te 3.11
Te 0.6250 0.1249 0.6250  6 Te 3.11
Te 0.6250 0.6250 0.1249  6 Te 3.11
Te 0.6250 0.6250 0.6250  6 Te 3.11
Mo 0.2500 0.2500 0.2500  12 Te 3.65, 4 Re 3.81

DFT (PBE) results for a geometry-optimized ReTe6Mo2 structure.

Values from the calculation:
The energy relative to the elements, uncorrected comes out at 0.200 eV/atom. The total energy comes out at -102.31 eV/cell. The symmetry is No. 15.

a = 8.7283 Å, b = 8.7283 Å, c = 6.3687 Å
α = 99.21°, β = 99.21°, γ = 88.31°
With the nearest neighbours (Å) after each atom.
Element x y z (fractional)
Re 0.1148 0.8852 0.7500  6 Te 2.67-2.80
Re 0.8852 0.1148 0.2500  6 Te 2.67-2.80
Te 0.0374 0.1827 0.9417  2 Mo 2.65-2.82, 2 Re 2.69-2.80
Te 0.1403 0.6122 0.5006  1 Re 2.67, 2 Mo 2.78-2.79
Te 0.1827 0.0374 0.4417  2 Mo 2.65-2.82, 2 Re 2.69-2.80
Te 0.3202 0.4619 0.0218  2 Mo 2.65-2.79
Te 0.3878 0.8597 0.9994  1 Re 2.67, 2 Mo 2.78-2.79
Te 0.4619 0.3202 0.5218  2 Mo 2.65-2.79
Te 0.5381 0.6798 0.4782  2 Mo 2.65-2.79
Te 0.6122 0.1403 0.0006  1 Re 2.67, 2 Mo 2.78-2.79
Te 0.6798 0.5381 0.9782  2 Mo 2.65-2.79
Te 0.8173 0.9626 0.5583  2 Mo 2.65-2.82, 2 Re 2.69-2.80
Te 0.8597 0.3878 0.4994  1 Re 2.67, 2 Mo 2.78-2.79
Te 0.9626 0.8173 0.0583  2 Mo 2.65-2.82, 2 Re 2.69-2.80
Mo 0.1693 0.3262 0.6462  6 Te 2.65-2.82
Mo 0.3262 0.1693 0.1462  6 Te 2.65-2.82
Mo 0.6738 0.8307 0.8538  6 Te 2.65-2.82
Mo 0.8307 0.6738 0.3538  6 Te 2.65-2.82

DFT (PBE) results for a geometry-optimized ReTeMo structure.

Values from the calculation:
The energy relative to the elements, uncorrected comes out at 0.538 eV/atom. The total energy comes out at -24.81 eV/cell. The symmetry is No. 156.

a = 3.0871 Å, b = 3.0871 Å, c = 6.5548 Å
α = 90.00°, β = 90.00°, γ = 120.00°
With the nearest neighbours (Å) after each atom.
Element x y z (fractional)
Re 0.0000 0.0000 0.0000  3 Mo 2.61
Te 0.3333 0.6667 0.3550  3 Mo 2.92, 3 Re 2.93, 6 Te 3.09
Mo 0.6667 0.3333 0.7081  3 Re 2.61, 3 Te 2.92

DFT (PBE) results for a geometry-optimized Th2ReMo3 structure.

Values from the calculation:
The formation energy comes out at 0.06 eV per atom. The total energy comes out at -118.87 eV/cell. The symmetry is No. 12.

a = 9.5690 Å, b = 5.5766 Å, c = 5.7927 Å
α = 90.00°, β = 126.96°, γ = 90.00°
With the nearest neighbours (Å) after each atom.
Element x y z (fractional)
Th 0.1285 0.0000 0.3770  9 Mo 3.18-3.36, 3 Re 3.20-3.29, 4 Th 3.35-3.51
Th 0.3715 0.5000 0.6230  9 Mo 3.18-3.36, 3 Re 3.20-3.29, 4 Th 3.35-3.51
Th 0.6285 0.5000 0.3770  9 Mo 3.18-3.36, 3 Re 3.20-3.29, 4 Th 3.35-3.51
Th 0.8715 0.0000 0.6230  9 Mo 3.18-3.36, 3 Re 3.20-3.29, 4 Th 3.35-3.51
Re 0.0000 0.5000 0.0000  6 Mo 2.77-2.90
Re 0.5000 0.0000 0.0000  6 Mo 2.77-2.90
Mo 0.0000 0.5000 0.5000  4 Mo 2.78, 2 Re 2.90
Mo 0.2500 0.2500 0.0000  2 Re 2.77, 4 Mo 2.78-2.79
Mo 0.2500 0.7500 0.0000  2 Re 2.77, 4 Mo 2.78-2.79
Mo 0.5000 0.0000 0.5000  4 Mo 2.78, 2 Re 2.90
Mo 0.7500 0.2500 0.0000  2 Re 2.77, 4 Mo 2.78-2.79
Mo 0.7500 0.7500 0.0000  2 Re 2.77, 4 Mo 2.78-2.79

DFT (PBE) results for a geometry-optimized ThRe2Mo structure.

Values from the calculation:
The formation energy comes out at 0.59 eV per atom. The total energy comes out at -122.33 eV/cell. The symmetry is No. 166.

a = 2.9728 Å, b = 2.9728 Å, c = 28.9005 Å
α = 90.00°, β = 90.00°, γ = 120.00°
With the nearest neighbours (Å) after each atom.
Element x y z (fractional)
Th 0.0000 0.0000 0.0000  6 Th 2.97, 6 Re 3.23
Th 0.3333 0.6667 0.6667  6 Th 2.97, 6 Re 3.23
Th 0.6667 0.3333 0.3333  6 Th 2.97, 6 Re 3.23
Re 0.0000 0.0000 0.2387  3 Mo 2.70, 6 Re 2.97
Re 0.0000 0.0000 0.7613  3 Mo 2.70, 6 Re 2.97
Re 0.3333 0.6667 0.4280  3 Mo 2.70, 6 Re 2.97
Re 0.3333 0.6667 0.9053  3 Mo 2.70, 6 Re 2.97
Re 0.6667 0.3333 0.0947  3 Mo 2.70, 6 Re 2.97
Re 0.6667 0.3333 0.5720  3 Mo 2.70, 6 Re 2.97
Mo 0.0000 0.0000 0.5000  6 Re 2.70, 6 Mo 2.97
Mo 0.3333 0.6667 0.1667  6 Re 2.70, 6 Mo 2.97
Mo 0.6667 0.3333 0.8333  6 Re 2.70, 6 Mo 2.97